TbV2TcO8 | PBE with a Hubbard U | optimized geometry

```
12
Lattice="3.277 -3.378 0.000 3.277 3.378 0.000 0.000 0.000 6.361" Properties=species:S:1:pos:R:3 pbc="T T T"
Tb 0.000 0.000 0.000
V 3.277 0.000 1.568
V 3.277 0.000 4.793
Tc 0.000 0.000 3.180
O 1.398 0.000 1.792
O 1.398 0.000 4.568
O 3.277 1.413 3.180
O 3.277 1.183 0.000
O 3.277 -1.183 0.000
O 3.277 -1.413 3.180
O 5.155 0.000 1.792
O 5.155 0.000 4.568
```

Computed properties:
VASP energy	-7.883	eV per atom
space-group type	No. 65